No. 1
Density functional theory data (GGA-PBE) for a geometry-optimized ErPuAl2O8 structure.

Unit cell a=5.8049 b=5.8049 c=5.8049 alpha=107.83 beta=107.83 gamma=112.81
Last column: magnetic moment on the atom in μB.
Atoms (fractional coordinates):
Pu (0.2500, 0.7500, 0.5000)  2.02
O (0.9435, 0.2628, 0.3193)  -0.13
O (0.3758, 0.0565, 0.3193)  -0.13
O (0.3175, 0.1221, 0.8046)  -0.09
O (0.4871, 0.6825, 0.8046)  -0.09
O (0.3175, 0.5129, 0.1954)  -0.09
O (0.7372, 0.0565, 0.6807)  -0.13
O (0.9435, 0.6242, 0.6807)  -0.13
O (0.8779, 0.6825, 0.1954)  -0.09
Er (0.0000, 0.0000, 0.0000)  -0.01
Al (0.7500, 0.2500, 0.5000)  0.01
Al (0.5000, 0.5000, 0.0000)  0.00

Mass density, g cm⁻³: 6.56
Spin magnetization, μB/atom: 0.083
Crystal system: tetragonal
Formation energy from raw total energies, eV per atom: -2.6392



No. 2
Density functional theory data (GGA-PBE) for a geometry-optimized Dy2RhS structure.

Unit cell a=3.7765 b=3.7765 c=7.5507 alpha=75.52 beta=75.52 gamma=60.02
Atoms (fractional coordinates):
S (0.6673, 0.6673, 0.9984)
Rh (0.4999, 0.4999, 0.5001)
Dy (0.2500, 0.2500, 0.2500)
Dy (0.0828, 0.0828, 0.7516)

Mass density, g cm⁻³: 8.55
Spin magnetization, μB/atom: 0.000
Crystal system: trigonal
Relative energy among the computed polymorphs, eV/atom: 0.1696
Formation energy from raw total energies, eV per atom: -1.2396



No. 3
Density functional theory data (GGA-PBE) for a geometry-optimized Cs2PbBr3F structure.

Unit cell a=4.8521 b=6.0333 c=10.3115 alpha=107.01 beta=103.61 gamma=90.00
Atoms (fractional coordinates):
Br (0.0000, 0.5000, 0.0000)
Br (0.8377, 0.8377, 0.6755)
Br (0.1623, 0.1623, 0.3245)
Cs (0.3532, 0.3532, 0.7064)
Cs (0.6468, 0.6468, 0.2936)
F (0.5000, 0.0000, 0.0000)
Pb (0.0000, 0.0000, 0.0000)

Mass density, g cm⁻³: 4.34
Spin magnetization, μB/atom: 0.000
Crystal system: orthorhombic
Formation energy from raw total energies, eV per atom: -1.7286



No. 4
Density functional theory data (GGA-PBE) for a geometry-optimized Ta2BeCo3 structure.

Unit cell a=4.8112 b=4.8112 c=7.3426 alpha=90.00 beta=90.00 gamma=120.00
Atoms (fractional coordinates):
Co (0.6695, 0.8348, 0.2500)
Co (0.8348, 0.6695, 0.7500)
Co (0.3305, 0.1652, 0.7500)
Co (0.1652, 0.8348, 0.2500)
Co (0.1652, 0.3305, 0.2500)
Co (0.8348, 0.1652, 0.7500)
Ta (0.6667, 0.3333, 0.0572)
Ta (0.6667, 0.3333, 0.4428)
Ta (0.3333, 0.6667, 0.9428)
Ta (0.3333, 0.6667, 0.5572)
Be (0.0000, 0.0000, 0.5000)
Be (0.0000, 0.0000, 0.0000)

Mass density, g cm⁻³: 12.36
Spin magnetization, μB/atom: 0.000
Crystal system: hexagonal



No. 5
Density functional theory data (GGA-PBE) for a geometry-optimized La2Tb15Nd2 structure.

Unit cell a=8.7968 b=8.7968 c=8.7968 alpha=80.01 beta=80.01 gamma=80.01
Atoms (fractional coordinates):
Tb (0.3026, 0.0000, 0.6974)
Tb (0.0000, 0.3026, 0.6974)
Tb (0.0000, 0.0000, 0.5000)
Tb (0.3695, 0.8482, 0.3695)
Tb (0.0000, 0.5000, 0.0000)
Tb (0.6305, 0.6305, 0.1518)
Tb (0.5000, 0.0000, 0.0000)
Tb (0.1518, 0.6305, 0.6305)
Tb (0.3695, 0.3695, 0.8482)
Tb (0.6974, 0.3026, 0.0000)
Tb (0.6305, 0.1518, 0.6305)
Tb (0.0000, 0.6974, 0.3026)
Tb (0.8482, 0.3695, 0.3695)
Tb (0.6974, 0.0000, 0.3026)
Tb (0.3026, 0.6974, 0.0000)
Nd (0.6711, 0.6711, 0.6711)
Nd (0.3289, 0.3289, 0.3289)
La (0.9080, 0.9080, 0.9080)
La (0.0920, 0.0920, 0.0920)

Mass density, g cm⁻³: 7.50
Spin magnetization, μB/atom: 0.000
Crystal system: trigonal



No. 6
Density functional theory data (GGA-PBE) for a geometry-optimized Cu2HgSb structure.

Unit cell a=5.4103 b=5.4103 c=5.4103 alpha=136.68 beta=136.68 gamma=62.94
Atoms (fractional coordinates):
Hg (0.5000, 0.5000, 0.0000)
Sb (0.7500, 0.2500, 0.5000)
Cu (0.0000, 0.0000, 0.0000)
Cu (0.2500, 0.7500, 0.5000)

Mass density, g cm⁻³: 10.14
Spin magnetization, μB/atom: 0.000
Crystal system: tetragonal
Formation energy from raw total energies, eV per atom: 0.2668



No. 7
Density functional theory data (GGA-PBE) for a geometry-optimized GaIr2C structure.

Unit cell a=8.1463 b=2.8213 c=9.4453 alpha=90.00 beta=95.76 gamma=90.00
Atoms (fractional coordinates):
Ir (0.6160, 0.5000, 0.4498)
Ir (0.8413, 0.0000, 0.2957)
Ir (0.8413, 0.5000, 0.7957)
Ir (0.1079, 0.0000, 0.7189)
Ir (0.3519, 0.0000, 0.0924)
Ir (0.6160, 0.0000, 0.9498)
Ir (0.3519, 0.5000, 0.5924)
Ir (0.1079, 0.5000, 0.2189)
Ga (0.0129, 0.0000, 0.9984)
Ga (0.3402, 0.5000, 0.8601)
Ga (0.3402, 0.0000, 0.3601)
Ga (0.0129, 0.5000, 0.4984)
C (0.6668, 0.0000, 0.7383)
C (0.6668, 0.5000, 0.2383)
C (0.5576, 0.0000, 0.6096)
C (0.5576, 0.5000, 0.1096)

Mass density, g cm⁻³: 14.34
Spin magnetization, μB/atom: 0.000
Crystal system: monoclinic
Relative energy among the computed polymorphs, eV/atom: 0.0855



No. 8
Density functional theory data (GGA-PBE) for a geometry-optimized Sr4SnP structure.

Unit cell a=7.6525 b=7.6521 c=9.3807 alpha=114.06 beta=114.07 gamma=90.00
Atoms (fractional coordinates):
Sr (0.1321, 0.1320, 0.2639)
Sr (0.8679, 0.8680, 0.7361)
Sr (0.3679, 0.8677, 0.7361)
Sr (0.6321, 0.1323, 0.2639)
Sr (0.6318, 0.6324, 0.2639)
Sr (0.8682, 0.3681, 0.7361)
Sr (0.3682, 0.3676, 0.7361)
Sr (0.1318, 0.6319, 0.2639)
Sn (0.2500, 0.2500, 0.0000)
Sn (0.7500, 0.7500, 0.0000)
P (0.0000, 0.5000, 0.5000)
P (0.5000, 0.0000, 0.5000)

Mass density, g cm⁻³: 3.70
Spin magnetization, μB/atom: 0.000
Crystal system: tetragonal



No. 9
Density functional theory data (GGA-PBE) for a geometry-optimized NbInOs3 structure.

Unit cell a=4.7698 b=4.7698 c=4.7698 alpha=90.00 beta=90.00 gamma=90.00
Atoms (fractional coordinates):
In (0.5000, 0.5000, 0.5000)
Os (0.0000, 0.5000, 0.0000)
Os (0.0000, 0.0000, 0.5000)
Os (0.5000, 0.0000, 0.0000)
Nb (0.0000, 0.0000, 0.0000)

Mass density, g cm⁻³: 11.91
Spin magnetization, μB/atom: 0.000
Crystal system: cubic
Relative energy among the computed polymorphs, eV/atom: 0.0000



No. 10
Density functional theory data (GGA-PBE) for a geometry-optimized Na3RuF structure.

Unit cell a=5.6607 b=5.6607 c=5.6607 alpha=90.00 beta=90.00 gamma=90.00
Last column: magnetic moment on the atom in μB.
Atoms (fractional coordinates):
Ru (0.0000, 0.0000, 0.0000)  1.80
Na (0.0000, 0.0000, 0.5000)  -0.01
Na (0.0000, 0.5000, 0.0000)  -0.01
Na (0.5000, 0.0000, 0.0000)  -0.01
F (0.5000, 0.5000, 0.5000)  0.00

Mass density, g cm⁻³: 1.73
Spin magnetization, μB/atom: 0.400
Crystal system: cubic
Relative energy among the computed polymorphs, eV/atom: 0.6902
Formation energy from raw total energies, eV per atom: 0.4173



No. 11
Density functional theory data (GGA-PBE) for a geometry-optimized BeCu2B2Rh5 structure.

Unit cell a=2.8235 b=9.0998 c=9.0998 alpha=90.00 beta=90.00 gamma=90.00
Atoms (fractional coordinates):
Cu (0.0000, 0.6775, 0.1775)
Cu (0.0000, 0.8225, 0.6775)
Cu (0.0000, 0.3225, 0.8225)
Cu (0.0000, 0.1775, 0.3225)
Rh (0.5000, 0.2041, 0.0672)
Rh (0.5000, 0.7959, 0.9328)
Rh (0.5000, 0.0000, 0.5000)
Rh (0.5000, 0.9328, 0.2041)
Rh (0.5000, 0.5000, 0.0000)
Rh (0.5000, 0.0672, 0.7959)
Rh (0.5000, 0.2959, 0.5672)
Rh (0.5000, 0.5672, 0.7041)
Rh (0.5000, 0.4328, 0.2959)
Rh (0.5000, 0.7041, 0.4328)
Be (0.0000, 0.0000, 0.0000)
Be (0.0000, 0.5000, 0.5000)
B (0.0000, 0.8665, 0.3665)
B (0.0000, 0.1335, 0.6335)
B (0.0000, 0.6335, 0.8665)
B (0.0000, 0.3665, 0.1335)

Mass density, g cm⁻³: 9.55
Spin magnetization, μB/atom: 0.000
Crystal system: tetragonal



No. 12
Density functional theory data (GGA-PBE) for a geometry-optimized TbPm2MgO structure.

Unit cell a=4.7913 b=5.0123 c=5.0123 alpha=90.00 beta=90.00 gamma=90.00
Atoms (fractional coordinates):
O (0.0000, 0.0000, 0.0000)
Mg (0.5000, 0.5000, 0.5000)
Tb (0.5000, 0.0000, 0.0000)
Pm (0.0000, 0.0000, 0.5000)
Pm (0.0000, 0.5000, 0.0000)

Mass density, g cm⁻³: 6.75
Spin magnetization, μB/atom: 0.000
Crystal system: tetragonal
Formation energy from raw total energies, eV per atom: -1.1957



Number 1: calculated total energy -97.7 eV/cell. Number 2: calculated total energy -25.6 eV/cell. Number 3: calculated total energy -24.4 eV/cell. Number 4: calculated total energy -101.1 eV/cell. Number 5: calculated total energy -83.7 eV/cell. Number 6: calculated total energy -11.5 eV/cell. Number 7: calculated total energy -117.7 eV/cell. Number 8: calculated total energy -40.6 eV/cell. Number 9: calculated total energy -36.3 eV/cell. Number 10: calculated total energy -13.0 eV/cell. Number 11: calculated total energy -129.6 eV/cell. Number 12: calculated total energy -26.7 eV/cell.